# 1
Entry from the Alexandria database: a geometry-optimized Ho5Mg6 structure (PBE-GGA).

Results
The spin magnetization comes out at 0.0 μB/cell. The value obtained for the total energy is -32.04 eV/cell.

Unit cell a=5.290 b=7.454 c=9.053 alpha=114.31 beta=106.99 gamma=90.00
Positions (direct):
Ho1 0.000 0.500 0.000
Ho2 0.662 0.662 0.324
Ho3 0.338 0.338 0.676
Ho4 0.304 0.804 0.609
Ho5 0.696 0.196 0.391
Mg1 0.500 0.788 0.000
Mg2 0.500 0.212 0.000
Mg3 0.855 0.065 0.710
Mg4 0.855 0.645 0.710
Mg5 0.145 0.935 0.290
Mg6 0.145 0.355 0.290



# 2
Entry from the Alexandria database: a geometry-optimized RbHgSe3 structure (PBE-GGA).

Results
The spin magnetization comes out at 5.0 μB/cell. The formation energy from raw total energies is 798 meV/atom.

Unit cell a=6.778 b=6.778 c=6.778 alpha=90.00 beta=90.00 gamma=90.00
Site moments in Bohr magnetons follow the coordinates.
Positions (direct):
Se1 0.000 0.500 0.000  0.93
Se2 0.000 0.000 0.500  0.98
Se3 0.500 0.000 0.000  0.89
Hg1 0.500 0.500 0.500  0.05
Rb1 0.000 0.000 0.000  0.00



# 3
Entry from the Alexandria database: a geometry-optimized SmDy2Y2Tm2 structure (PBE-GGA).

Results
The spin magnetization comes out at 0.4 μB/cell. The value obtained for the total energy is -34.81 eV/cell.

Unit cell a=5.655 b=5.655 c=8.741 alpha=71.13 beta=71.13 gamma=60.00
Positions (direct):
Sm1 0.000 0.000 0.000
Dy1 0.717 0.717 0.848
Dy2 0.283 0.283 0.152
Y1 0.142 0.142 0.575
Y2 0.858 0.858 0.425
Tm1 0.572 0.572 0.284
Tm2 0.428 0.428 0.716



# 4
Entry from the Alexandria database: a geometry-optimized Fe2SbAu structure (PBE-GGA).

Results
The spin magnetization comes out at 11.2 μB/cell. The formation energy from raw total energies is 470 meV/atom.

Unit cell a=3.956 b=3.956 c=9.698 alpha=78.23 beta=78.23 gamma=90.00
Site moments in Bohr magnetons follow the coordinates.
Positions (direct):
Sb1 0.500 0.500 0.000  0.00
Sb2 0.250 0.750 0.500  0.00
Au1 0.000 0.000 0.000  0.03
Au2 0.750 0.250 0.500  0.03
Fe1 0.595 0.125 0.250  2.76
Fe2 0.155 0.625 0.250  2.76
Fe3 0.375 0.405 0.750  2.71
Fe4 0.875 0.845 0.750  2.72



# 5
Entry from the Alexandria database: a geometry-optimized Ni2Mo3Rh8 structure (PBE-GGA).

Results
The spin magnetization comes out at 0.0 μB/cell. The value obtained for the total energy is -98.02 eV/cell.

Unit cell a=5.051 b=5.051 c=9.491 alpha=74.57 beta=74.57 gamma=60.00
Positions (direct):
Ni1 0.639 0.639 0.083
Ni2 0.361 0.361 0.917
Mo1 0.000 0.000 0.000
Mo2 0.815 0.815 0.556
Mo3 0.185 0.185 0.444
Rh1 0.723 0.723 0.830
Rh2 0.277 0.277 0.170
Rh3 0.232 0.730 0.309
Rh4 0.730 0.232 0.309
Rh5 0.730 0.730 0.309
Rh6 0.270 0.768 0.691
Rh7 0.768 0.270 0.691
Rh8 0.270 0.270 0.691



# 6
Entry from the Alexandria database: a geometry-optimized HfZrPb structure (PBE-GGA).

Results
The spin magnetization comes out at 1.3 μB/cell. The value obtained for the total energy is -21.73 eV/cell.

Unit cell a=3.183 b=5.102 c=5.102 alpha=120.00 beta=90.00 gamma=90.00
Site moments in Bohr magnetons follow the coordinates.
Positions (direct):
Pb1 0.685 0.667 0.333  -0.01
Hf1 0.943 0.000 0.000  0.42
Zr1 0.372 0.333 0.667  0.44



Q: Look up the spin magnetization of the fifth one.
A: 0.0 μB/cell